# 1
Here is a geometry-optimized Pr4HoEr structure from Alexandria. Energies are from PBE.

Output
E_form = 25 meV per atom
magnetization = 0.00 μB per cell
mass density = 7.19 g/cm³
energy relative to the lowest polymorph listed for this composition = 0.000 eV per atom
E_tot = -4.6852 eV per atom

Unit cell a=8.1405 b=8.1405 c=5.1784 alpha=90.01 beta=90.01 gamma=37.11
Fractional coordinates of all 6 atoms:
Pr: 0.3356 0.3356 0.0002
Pr: 0.6644 0.6644 0.9998
Pr: 0.8357 0.8357 0.5000
Pr: 0.1643 0.1643 0.5000
Ho: 0.5000 0.5000 0.5000
Er: 0.0000 0.0000 0.0000

# 2
Here is a geometry-optimized YTc2Os structure from Alexandria. Energies are from PBE.

Output
E_form = 270 meV per atom
magnetization = 0.00 μB per cell
mass density = 11.33 g/cm³
energy relative to the lowest polymorph listed for this composition = 0.283 eV per atom
E_tot = -9.3368 eV per atom

Unit cell a=5.6290 b=5.6290 c=5.6290 alpha=149.03 beta=130.09 gamma=59.91
Fractional coordinates of all 4 atoms:
Os: 0.7500 0.2500 0.5000
Tc: 0.9707 0.9707 0.0000
Tc: 0.5293 0.5293 0.0000
Y: 0.2500 0.7500 0.5000

# 3
Here is a geometry-optimized Th2CoRh structure from Alexandria. Energies are from PBE.

Output
E_form = -579 meV per atom
magnetization = 0.00 μB per cell
mass density = 11.44 g/cm³
energy relative to the lowest polymorph listed for this composition = 0.063 eV per atom
E_tot = -7.9031 eV per atom

Unit cell a=4.1255 b=3.8756 c=11.5275 alpha=99.68 beta=90.00 gamma=90.00
Fractional coordinates of all 8 atoms:
Th: 0.7500 0.6782 0.3564
Th: 0.2500 0.3218 0.6436
Th: 0.7500 0.9375 0.8750
Th: 0.2500 0.0625 0.1250
Co: 0.2500 0.4552 0.9104
Co: 0.7500 0.5448 0.0896
Rh: 0.2500 0.1897 0.3794
Rh: 0.7500 0.8103 0.6206

> E_form of number 3 (Th2CoRh)?

-579 meV per atom